{"formula": "LiCaTe2", "functional": "PBE-GGA", "state": "relaxed", "lattice_angstrom": [[-4.009, 4.009, 3.503], [4.009, -4.009, 3.503], [4.009, 4.009, -3.503]], "species": ["Li", "Li", "Ca", "Ca", "Te", "Te", "Te", "Te"], "fractional_positions": [[0.000, 0.000, 0.000], [0.750, 0.250, 0.500], [0.250, 0.750, 0.500], [0.500, 0.500, 0.000], [0.099, 0.625, 0.974], [0.375, 0.349, 0.474], [0.651, 0.125, 0.026], [0.875, 0.901, 0.526]], "crystal_system": "tetragonal", "formation_energy_uncorrected_mev_per_atom": -1013, "total_energy_ev_per_atom": -3.5624, "m_tot_mub_per_cell": 0.00, "spacegroup": "I-42d (122)"}